## w
A relaxed MoPtAu crystal. Source: Alexandria via LeMat-Bulk, functional PBE.

```
MoPtAu
1.0
2.819 0.000 0.000
0.000 2.819 0.000
0.000 0.000 12.465
Mo Pt Au
2 2 2
Cartesian
0.705 0.705 1.083
2.114 2.114 11.382
0.705 0.705 9.540
2.114 2.114 2.925
0.705 0.705 5.118
2.114 2.114 7.347
```

Values from the calculation:
For the density, the calculation gives 16.36 g/cm3. Its size of the total moment is 0.00 μB per formula unit.


## x
A relaxed MoPtAu crystal. Source: Alexandria via LeMat-Bulk, functional PBE.

```
MoPtAu
1.0
0.000 3.063 3.063
3.063 0.000 3.063
3.063 3.063 0.000
Mo Pt Au
1 1 1
Cartesian
0.000 0.000 0.000
4.595 4.595 4.595
3.063 3.063 3.063
```

Values from the calculation:
For the density, the calculation gives 14.10 g/cm3. Its size of the total moment is 0.01 μB per formula unit.


## y
A relaxed MoPtAu crystal. Source: Alexandria via LeMat-Bulk, functional PBE.

```
MoPtAu
1.0
-1.608 1.608 4.803
1.608 -1.608 4.803
1.608 1.608 -4.803
Mo Pt Au
1 1 1
Cartesian
0.000 0.000 0.000
0.000 0.000 6.271
0.000 0.000 3.121
```

Values from the calculation:
For the density, the calculation gives 16.31 g/cm3. Its size of the total moment is 0.00 μB per formula unit.


It is x that is the least stable of them.


## w
A relaxed MoPtAu crystal. Source: Alexandria via LeMat-Bulk, functional PBE.

```
MoPtAu
1.0
4.564 0.000 0.000
-2.282 3.952 0.000
0.000 0.000 2.710
Mo Pt Au
1 1 1
Cartesian
0.000 0.000 0.000
2.282 1.317 1.355
0.000 2.635 1.355
```

Values from the calculation:
For the density, the calculation gives 16.57 g/cm3. Its size of the total moment is 0.00 μB per formula unit.


## x
A relaxed MoPtAu crystal. Source: Alexandria via LeMat-Bulk, functional PBE.

```
MoPtAu
1.0
-1.415 2.024 4.229
1.415 -2.024 4.229
1.415 2.024 -4.229
Mo Pt Au
1 1 1
Cartesian
0.000 0.000 0.000
0.000 0.000 5.552
0.000 0.000 2.797
```

Values from the calculation:
For the density, the calculation gives 16.73 g/cm3. Its size of the total moment is 0.00 μB per formula unit.


It is w that is the least stable of them.


## w
A relaxed MoPtAu crystal. Source: Alexandria via LeMat-Bulk, functional PBE.

```
MoPtAu
1.0
2.837 0.000 0.000
-1.419 2.457 0.000
0.000 0.000 7.059
Mo Pt Au
1 1 1
Cartesian
0.000 0.000 0.000
0.000 1.638 2.165
1.419 0.819 4.657
```

Values from the calculation:
For the density, the calculation gives 16.47 g/cm3. Its size of the total moment is 0.00 μB per formula unit.


## x
A relaxed MoPtAu crystal. Source: Alexandria via LeMat-Bulk, functional PBE.

```
MoPtAu
1.0
0.000 3.084 3.084
3.084 0.000 3.084
3.084 3.084 0.000
Mo Pt Au
1 1 1
Cartesian
0.000 0.000 0.000
1.542 1.542 1.542
4.626 4.626 4.626
```

Values from the calculation:
For the density, the calculation gives 13.81 g/cm3. Its size of the total moment is 0.76 μB per formula unit.


## y
A relaxed MoPtAu crystal. Source: Alexandria via LeMat-Bulk, functional PBE.

```
MoPtAu
1.0
-1.417 1.417 6.106
1.417 -1.417 6.106
1.417 1.417 -6.106
Mo Pt Au
1 1 1
Cartesian
0.000 0.000 0.000
0.000 0.000 4.286
0.000 0.000 8.174
```

Values from the calculation:
For the density, the calculation gives 16.51 g/cm3. Its size of the total moment is 0.00 μB per formula unit.


It is x that is the least stable of them.


## w
A relaxed MoPt3Au crystal. Source: Alexandria via LeMat-Bulk, functional PBE.

```
MoPt3Au
1.0
4.807 0.000 0.000
0.000 4.807 0.000
0.000 0.000 4.807
Mo Pt Au
1 3 1
Cartesian
0.000 0.000 0.000
0.000 0.000 2.404
0.000 2.404 0.000
2.404 0.000 0.000
2.404 2.404 2.404
```

Values from the calculation:
For the density, the calculation gives 13.13 g/cm3. Its size of the total moment is 0.00 μB per formula unit.


## x
A relaxed MoPt3Au crystal. Source: Alexandria via LeMat-Bulk, functional PBE.

```
MoPt3Au
1.0
4.907 0.000 0.000
0.000 4.907 0.000
0.000 0.000 4.907
Mo Pt Au
1 3 1
Cartesian
0.000 0.000 0.000
0.000 2.454 2.454
2.454 0.000 2.454
2.454 2.454 0.000
2.454 2.454 2.454
```

Values from the calculation:
For the density, the calculation gives 12.34 g/cm3. Its size of the total moment is 3.66 μB per formula unit.


It is x that is the least stable of them.


## w
A relaxed Pu2MoAu crystal. Source: Alexandria via LeMat-Bulk, functional PBE.

```
Pu2MoAu
1.0
4.456 0.000 0.000
0.000 4.456 0.000
0.000 0.000 4.248
Pu Mo Au
2 1 1
Cartesian
0.000 2.228 0.000
2.228 0.000 0.000
0.000 0.000 2.124
2.228 2.228 2.124
```

Values from the calculation:
For the density, the calculation gives 15.37 g/cm3. Its size of the total moment is 9.37 μB per formula unit.


## x
A relaxed Pu2MoAu crystal. Source: Alexandria via LeMat-Bulk, functional PBE.

```
Pu2MoAu
1.0
3.225 0.000 0.000
0.000 3.225 0.000
0.000 0.000 8.251
Pu Mo Au
2 1 1
Cartesian
0.000 0.000 1.888
0.000 0.000 6.363
1.612 1.612 0.000
1.612 1.612 4.126
```

Values from the calculation:
For the density, the calculation gives 15.11 g/cm3. Its size of the total moment is 9.68 μB per formula unit.


It is w that is the least stable of them.


## w
A relaxed RbMo2Au crystal. Source: Alexandria via LeMat-Bulk, functional PBE.

```
RbMo2Au
1.0
-2.212 2.212 10.520
2.212 -2.212 10.520
2.212 2.212 -10.520
Rb Mo Au
2 4 2
Cartesian
0.000 0.000 0.000
0.000 2.212 5.260
1.106 -0.412 7.890
1.801 1.106 2.630
1.106 2.624 -2.630
0.412 1.106 13.150
2.212 0.000 5.260
0.000 0.000 10.520
```

Values from the calculation:
For the density, the calculation gives 7.65 g/cm3. Its size of the total moment is 0.00 μB per formula unit.


## x
A relaxed RbMo2Au crystal. Source: Alexandria via LeMat-Bulk, functional PBE.

```
RbMo2Au
1.0
0.000 3.355 3.355
3.355 0.000 3.355
3.355 3.355 0.000
Rb Mo Au
1 2 1
Cartesian
0.000 0.000 0.000
1.677 1.677 1.677
5.032 5.032 5.032
3.355 3.355 3.355
```

Values from the calculation:
For the density, the calculation gives 10.43 g/cm3. Its size of the total moment is 0.00 μB per formula unit.


It is x that is the least stable of them.


## w
A relaxed RbMoAu crystal. Source: Alexandria via LeMat-Bulk, functional PBE.

```
RbMoAu
1.0
8.969 0.000 0.000
0.000 3.280 0.000
0.000 0.000 10.754
Rb Mo Au
4 4 4
Cartesian
1.198 0.820 1.128
3.286 2.460 6.505
5.683 0.820 4.249
7.771 2.460 9.625
0.235 2.460 4.569
4.249 0.820 9.946
4.720 2.460 0.808
8.734 0.820 6.184
1.583 0.820 8.600
2.901 2.460 3.223
6.068 0.820 7.530
7.386 2.460 2.154
```

Values from the calculation:
For the density, the calculation gives 7.94 g/cm3. Its size of the total moment is 0.00 μB per formula unit.


## x
A relaxed RbMoAu crystal. Source: Alexandria via LeMat-Bulk, functional PBE.

```
RbMoAu
1.0
10.939 0.000 0.000
0.000 3.219 0.000
0.000 0.000 10.104
Rb Mo Au
4 4 4
Cartesian
1.883 0.805 0.894
3.587 2.414 5.946
7.352 0.805 4.158
9.057 2.414 9.210
0.379 0.805 4.300
5.090 2.414 9.352
5.849 0.805 0.752
10.560 2.414 5.804
0.975 0.805 7.640
4.495 2.414 2.587
6.445 0.805 7.517
9.965 2.414 2.465
```

Values from the calculation:
For the density, the calculation gives 7.06 g/cm3. Its size of the total moment is 0.00 μB per formula unit.


It is w that is the least stable of them.


## w
A relaxed RbMo3Au crystal. Source: Alexandria via LeMat-Bulk, functional PBE.

```
RbMo3Au
1.0
4.645 0.000 0.000
0.000 4.645 0.000
0.000 0.000 4.645
Rb Mo Au
1 3 1
Cartesian
0.000 0.000 0.000
0.000 0.000 2.322
0.000 2.322 0.000
2.322 0.000 0.000
2.322 2.322 2.322
```

Values from the calculation:
For the density, the calculation gives 9.45 g/cm3. Its size of the total moment is 0.00 μB per formula unit.


## x
A relaxed RbMo3Au crystal. Source: Alexandria via LeMat-Bulk, functional PBE.

```
RbMo3Au
1.0
5.304 0.000 0.000
0.000 5.304 0.000
0.000 0.000 5.304
Rb Mo Au
1 3 1
Cartesian
0.000 0.000 0.000
0.000 2.652 2.652
2.652 0.000 2.652
2.652 2.652 0.000
2.652 2.652 2.652
```

Values from the calculation:
For the density, the calculation gives 6.35 g/cm3. Its size of the total moment is 11.27 μB per formula unit.


It is w that is the least stable of them.


## w
A relaxed ReMoAu crystal. Source: Alexandria via LeMat-Bulk, functional PBE.

```
ReMoAu
1.0
0.000 2.245 6.907
1.594 0.000 6.907
1.594 2.245 0.000
Re Mo Au
1 1 1
Cartesian
0.000 0.000 0.000
1.594 2.245 8.951
1.594 2.245 4.463
```

Values from the calculation:
For the density, the calculation gives 16.09 g/cm3. Its size of the total moment is 0.00 μB per formula unit.


## x
A relaxed ReMoAu crystal. Source: Alexandria via LeMat-Bulk, functional PBE.

```
ReMoAu
1.0
-1.414 1.414 6.096
1.414 -1.414 6.096
1.414 1.414 -6.096
Re Mo Au
1 1 1
Cartesian
0.000 0.000 0.000
0.000 0.000 4.288
0.000 0.000 8.228
```

Values from the calculation:
For the density, the calculation gives 16.32 g/cm3. Its size of the total moment is 0.00 μB per formula unit.


It is x that is the least stable of them.


## w
A relaxed ReMoAu crystal. Source: Alexandria via LeMat-Bulk, functional PBE.

```
ReMoAu
1.0
2.836 0.000 0.000
0.000 3.990 0.000
0.236 0.010 8.644
Re Mo Au
2 2 2
Cartesian
0.000 0.000 0.000
0.186 3.993 6.013
1.356 1.998 4.721
1.567 2.002 7.433
1.395 1.994 1.611
2.812 3.992 3.150
```

Values from the calculation:
For the density, the calculation gives 16.27 g/cm3. Its size of the total moment is 0.00 μB per formula unit.


## x
A relaxed ReMoAu crystal. Source: Alexandria via LeMat-Bulk, functional PBE.

```
ReMoAu
1.0
2.802 0.000 0.000
-1.401 2.426 0.000
0.000 0.000 7.140
Re Mo Au
1 1 1
Cartesian
0.000 0.000 0.000
0.000 1.618 4.933
1.401 0.809 2.467
```

Values from the calculation:
For the density, the calculation gives 16.39 g/cm3. Its size of the total moment is 0.00 μB per formula unit.


It is x that is the least stable of them.


## w
A relaxed ReMoAu crystal. Source: Alexandria via LeMat-Bulk, functional PBE.

```
ReMoAu
1.0
0.000 3.060 3.060
3.060 0.000 3.060
3.060 3.060 0.000
Re Mo Au
1 1 1
Cartesian
0.000 0.000 0.000
4.591 4.591 4.591
1.530 1.530 1.530
```

Values from the calculation:
For the density, the calculation gives 13.88 g/cm3. Its size of the total moment is 0.00 μB per formula unit.


## x
A relaxed ReMoAu crystal. Source: Alexandria via LeMat-Bulk, functional PBE.

```
ReMoAu
1.0
-1.341 2.112 4.237
1.341 -2.112 4.237
1.341 2.112 -4.237
Re Mo Au
1 1 1
Cartesian
0.000 0.000 0.000
0.000 0.000 5.640
0.000 0.000 2.828
```

Values from the calculation:
For the density, the calculation gives 16.58 g/cm3. Its size of the total moment is 0.00 μB per formula unit.


It is w that is the least stable of them.


## w
A relaxed ReMo2Au crystal. Source: Alexandria via LeMat-Bulk, functional PBE.

```
ReMo2Au
1.0
2.806 -4.012 0.000
2.806 4.012 0.000
0.000 0.000 2.823
Re Mo Au
1 2 1
Cartesian
0.000 0.000 0.000
1.403 2.006 1.412
1.403 -2.006 1.412
2.806 0.000 0.000
```

Values from the calculation:
For the density, the calculation gives 15.02 g/cm3. Its size of the total moment is 0.00 μB per formula unit.


## x
A relaxed ReMo2Au crystal. Source: Alexandria via LeMat-Bulk, functional PBE.

```
ReMo2Au
1.0
4.650 -1.455 0.000
4.650 1.455 0.000
-0.949 0.000 4.737
Re Mo Au
1 2 1
Cartesian
0.000 0.000 0.000
1.674 0.000 3.659
4.229 0.000 2.433
6.753 0.000 1.264
```

Values from the calculation:
For the density, the calculation gives 14.89 g/cm3. Its size of the total moment is 0.00 μB per formula unit.


It is x that is the least stable of them.